This record from Alexandria describes a relaxed structure of CeHClF. The functional is PBE.

abc: 3.4483 6.9689 6.9689
angles: 28.53 90.00 90.00
Closest atoms and distances in Å follow each position.
Positions (direct):
1 Ce 0.0000 0.0000 0.0000  1 F 2.03
2 H 0.5000 0.5529 0.5529  1 Cl 2.51, 4 Ce 2.54, 4 F 2.76
3 Cl 0.5000 0.3669 0.3669  1 H 2.51
4 F 0.0000 0.1500 0.1500  1 Ce 2.03

Computed properties:
The value obtained for the calculated total energy is -4.96 eV per atom. The crystal system is orthorhombic. Its symmetry is No. 38.